Below is a relaxed structure of DyPaCuSi, with properties calculated at the PBE level.

```
data_DyPaCuSi
_symmetry_space_group_name_H-M 'P 1'
_symmetry_Int_Tables_number 1
_cell_length_a 4.907
_cell_length_b 4.907
_cell_length_c 4.907
_cell_angle_alpha 60.00
_cell_angle_beta 60.00
_cell_angle_gamma 60.00
loop_
_symmetry_equiv_pos_as_xyz
'x,y,z'
loop_
_atom_site_label
_atom_site_fract_x
_atom_site_fract_y
_atom_site_fract_z
_atom_site_occupancy
Cu1 0.250 0.250 0.250 1
Dy1 0.500 0.500 0.500 1
Si1 0.750 0.750 0.750 1
Pa1 0.000 0.000 0.000 1
```

Properties
Uncorrected formation energy (eV/atom): -0.17
Magnetic moment (μB per formula unit): 0.013
DOS(E_F) (states/eV per cell): 4.739



Below is a relaxed structure of SrIClO2, with properties calculated at the PBE level.

```
data_SrIClO2
_symmetry_space_group_name_H-M 'P 1'
_symmetry_Int_Tables_number 1
_cell_length_a 4.552
_cell_length_b 4.552
_cell_length_c 7.553
_cell_angle_alpha 90.00
_cell_angle_beta 90.00
_cell_angle_gamma 90.00
loop_
_symmetry_equiv_pos_as_xyz
'x,y,z'
loop_
_atom_site_label
_atom_site_fract_x
_atom_site_fract_y
_atom_site_fract_z
_atom_site_occupancy
O1 0.000 0.500 0.000 1
O2 0.500 0.000 0.000 1
Sr1 0.000 0.000 0.000 1
I1 0.000 0.000 0.500 1
Cl1 0.500 0.500 0.500 1
```

Properties
E above lowest polymorph (meV per atom): 0
Uncorrected formation energy (eV/atom): -0.34
Magnetic moment (μB per formula unit): 2.197
DOS(E_F) (states/eV per cell): 3.762



Below is a relaxed structure of PmHoAlRh, with properties calculated at the PBE level.

```
data_PmHoAlRh
_symmetry_space_group_name_H-M 'P 1'
_symmetry_Int_Tables_number 1
_cell_length_a 5.046
_cell_length_b 5.046
_cell_length_c 5.046
_cell_angle_alpha 60.00
_cell_angle_beta 60.00
_cell_angle_gamma 60.00
loop_
_symmetry_equiv_pos_as_xyz
'x,y,z'
loop_
_atom_site_label
_atom_site_fract_x
_atom_site_fract_y
_atom_site_fract_z
_atom_site_occupancy
Rh1 0.750 0.750 0.750 1
Al1 0.250 0.250 0.250 1
Ho1 0.500 0.500 0.500 1
Pm1 0.000 0.000 0.000 1
```

Properties
Energy of formation from the pure elements (eV/atom): -0.498
Magnetic moment (μB per formula unit): 0.000
DOS(E_F) (states/eV per cell): 3.765



Below is a relaxed structure of BaYH2O, with properties calculated at the PBE level.

```
data_BaYH2O
_symmetry_space_group_name_H-M 'P 1'
_symmetry_Int_Tables_number 1
_cell_length_a 4.334
_cell_length_b 4.334
_cell_length_c 4.496
_cell_angle_alpha 90.00
_cell_angle_beta 90.00
_cell_angle_gamma 90.00
loop_
_symmetry_equiv_pos_as_xyz
'x,y,z'
loop_
_atom_site_label
_atom_site_fract_x
_atom_site_fract_y
_atom_site_fract_z
_atom_site_occupancy
H1 0.000 0.500 0.000 1
H2 0.500 0.000 0.000 1
O1 0.000 0.000 0.500 1
Y1 0.000 0.000 0.000 1
Ba1 0.500 0.500 0.500 1
```

Properties
Magnetic moment (μB per formula unit): 0.326
DOS(E_F) (states/eV per cell): 1.831



Below is a relaxed structure of CaBeSi2, with properties calculated at the PBE level.

```
data_CaBeSi2
_symmetry_space_group_name_H-M 'P 1'
_symmetry_Int_Tables_number 1
_cell_length_a 4.022
_cell_length_b 4.024
_cell_length_c 4.044
_cell_angle_alpha 90.00
_cell_angle_beta 90.00
_cell_angle_gamma 90.00
loop_
_symmetry_equiv_pos_as_xyz
'x,y,z'
loop_
_atom_site_label
_atom_site_fract_x
_atom_site_fract_y
_atom_site_fract_z
_atom_site_occupancy
Be1 0.500 0.000 0.500 1
Si1 0.500 0.500 0.000 1
Si2 0.000 0.000 0.000 1
Ca1 0.000 0.500 0.500 1
```

Properties
Uncorrected formation energy (eV/atom): 0.18
Magnetic moment (μB per formula unit): 0.000
DOS(E_F) (states/eV per cell): 0.759



Below is a relaxed structure of Dy3Hg2Au, with properties calculated at the PBE level.

```
data_Dy3Hg2Au
_symmetry_space_group_name_H-M 'P 1'
_symmetry_Int_Tables_number 1
_cell_length_a 3.668
_cell_length_b 3.668
_cell_length_c 11.119
_cell_angle_alpha 90.00
_cell_angle_beta 90.00
_cell_angle_gamma 90.00
loop_
_symmetry_equiv_pos_as_xyz
'x,y,z'
loop_
_atom_site_label
_atom_site_fract_x
_atom_site_fract_y
_atom_site_fract_z
_atom_site_occupancy
Hg1 0.500 0.500 0.167 1
Hg2 0.500 0.500 0.833 1
Dy1 0.000 0.000 0.657 1
Dy2 0.000 0.000 0.343 1
Dy3 0.000 0.000 0.000 1
Au1 0.500 0.500 0.500 1
```

Properties
Energy of formation from the pure elements (eV/atom): -0.611
E above lowest polymorph (meV per atom): 0
Magnetic moment (μB per formula unit): 0.000
DOS(E_F) (states/eV per cell): 4.026



Below is a relaxed structure of CaTcBr6, with properties calculated at the PBE level.

```
data_CaTcBr6
_symmetry_space_group_name_H-M 'P 1'
_symmetry_Int_Tables_number 1
_cell_length_a 6.769
_cell_length_b 7.259
_cell_length_c 7.259
_cell_angle_alpha 124.06
_cell_angle_beta 98.19
_cell_angle_gamma 98.19
loop_
_symmetry_equiv_pos_as_xyz
'x,y,z'
loop_
_atom_site_label
_atom_site_fract_x
_atom_site_fract_y
_atom_site_fract_z
_atom_site_occupancy
Br1 0.275 0.425 0.139 1
Br2 0.725 0.575 0.861 1
Br3 0.275 0.734 0.734 1
Br4 0.725 0.861 0.575 1
Br5 0.725 0.266 0.266 1
Br6 0.275 0.139 0.425 1
Ca1 0.000 0.000 0.000 1
Tc1 0.500 0.500 0.500 1
```

Properties
Uncorrected formation energy (eV/atom): -0.94
Magnetic moment (μB per formula unit): 3.000



Below is a relaxed structure of CrFe4Tc, with properties calculated at the PBE level.

```
data_CrFe4Tc
_symmetry_space_group_name_H-M 'P 1'
_symmetry_Int_Tables_number 1
_cell_length_a 4.641
_cell_length_b 4.641
_cell_length_c 4.641
_cell_angle_alpha 60.00
_cell_angle_beta 60.00
_cell_angle_gamma 60.00
loop_
_symmetry_equiv_pos_as_xyz
'x,y,z'
loop_
_atom_site_label
_atom_site_fract_x
_atom_site_fract_y
_atom_site_fract_z
_atom_site_occupancy
Fe1 0.625 0.625 0.126 1
Fe2 0.625 0.126 0.625 1
Fe3 0.126 0.625 0.625 1
Fe4 0.625 0.625 0.625 1
Cr1 0.000 0.000 0.000 1
Tc1 0.250 0.250 0.250 1
```

Properties
Energy of formation from the pure elements (eV/atom): 0.105
Magnetic moment (μB per formula unit): 3.992
DOS(E_F) (states/eV per cell): 8.712



no.,total energy (eV/atom)
1,-6.076
2,-3.343
3,-5.604
4,-5.372
5,-3.967
6,-3.559
7,-3.741
8,-8.868